A | First-principles (PBE) data for a relaxed Si2BrCl crystal, as listed in Alexandria via LeMat-Bulk.

The space group is Cmmm (No. 65) and the conventional cell measures 6.4275, 7.8741 and 3.2928 Å, with angles of 90.00, 90.00 and 90.00 degrees. The distinct sites, in fractional coordinates, are Si at (0.2500, 0.2500, 0.0000), Br at (0.0000, 0.0000, 0.5000) and Cl at (0.0000, 0.5000, 0.5000).



B | First-principles (PBE) data for a relaxed Si2BrCl crystal, as listed in Alexandria via LeMat-Bulk.

The space group is Pm (No. 6) and the conventional cell measures 5.6937, 3.9384 and 5.8705 Å, with angles of 90.00, 99.54 and 90.00 degrees. The distinct sites, in fractional coordinates, are Si at (0.0000, 0.0000, 0.0000), Si at (0.0109, 0.5000, 0.2111), Br at (0.3118, 0.0000, 0.8070) and Cl at (0.7249, 0.5000, 0.3919).



Energy comparison, zero being the most stable, in eV/atom: A 0.803; B 0.000.



A | First-principles (PBE) data for a relaxed TlPt2W crystal, as listed in Alexandria via LeMat-Bulk.

The space group is P2/m (No. 10) and the conventional cell measures 2.8864, 2.8955 and 8.8471 Å, with angles of 90.00, 98.68 and 90.00 degrees. The distinct sites, in fractional coordinates, are Tl at (0.0000, 0.0000, 0.0000), Pt at (0.0959, 0.5000, 0.7097) and W at (0.5000, 0.0000, 0.5000).



B | First-principles (PBE) data for a relaxed TlPt2W crystal, as listed in Alexandria via LeMat-Bulk.

The space group is Pm (No. 6) and the conventional cell measures 2.8443, 4.6493 and 5.2325 Å, with angles of 90.00, 90.09 and 90.00 degrees. The distinct sites, in fractional coordinates, are Tl at (0.0000, 0.0000, 0.0000), Pt at (0.4974, 0.5000, 0.1817), Pt at (0.5008, 0.0000, 0.5045) and W at (0.9991, 0.5000, 0.6461).



Energy comparison, zero being the most stable, in eV/atom: A 0.000; B 0.240.